Density functional theory data (PBE) for a relaxed structure of RbNbCuF2.

Computed properties:
Excess energy over the best structure of this formula in the dataset, meV/atom: 1280
Space-group type: P4/mmm, No. 123
Energy, eV per cell: -17.81
Spin magnetization, μB/atom: 0.669
E_form (uncorrected), meV/atom: 214

a = 4.7896 Å, b = 5.3138 Å, c = 4.7896 Å
α = 90.00°, β = 90.00°, γ = 90.00°
Last column: nearest neighbours and their distance in Å.
Fractional coordinates of all 5 atoms:
F: 0.5000 0.0000 0.0000  2 Rb 2.39
F: 0.0000 0.0000 0.5000  2 Rb 2.39
Cu: 0.0000 0.5000 0.0000  2 Rb 2.66
Nb: 0.5000 0.5000 0.5000  4 Cu 3.39, 8 F 3.58
Rb: 0.0000 0.0000 0.0000  4 F 2.39, 2 Cu 2.66